(1)
The following is a PBE calculation of a relaxed structure of Rb2Li2In, from the Alexandria database.

The structure in extended XYZ format:
```
10
Lattice="7.9575 0.0000 0.0000 0.0000 7.9575 0.0000 0.0000 0.0000 6.2548" Properties=species:S:1:pos:R:3 pbc="T T T"
Rb 1.4494 2.5293 0.0000
Rb 2.5293 6.5080 0.0000
Rb 5.4282 1.4494 0.0000
Rb 6.5080 5.4282 0.0000
Li 1.3193 5.2981 3.1274
Li 2.6594 1.3193 3.1274
Li 5.2981 6.6381 3.1274
Li 6.6381 2.6594 3.1274
In 0.0000 0.0000 3.1274
In 3.9787 3.9787 3.1274
```

Values from the calculation:
Magnetic moment ... 0.00 Bohr magnetons per cell
E_tot ... -1.61 eV/atom

---

(2)
The following is a PBE calculation of a relaxed structure of RbLiIn2, from the Alexandria database.

The structure in extended XYZ format:
```
4
Lattice="2.4801 1.4319 6.7579 -2.4801 1.4319 6.7579 0.0000 -2.8638 6.7579" Properties=species:S:1:pos:R:3 pbc="T T T"
Rb 0.0000 0.0000 0.0000
Li 0.0000 0.0000 10.1368
In 0.0000 0.0000 3.7927
In 0.0000 0.0000 16.4808
```

Values from the calculation:
Magnetic moment ... 0.00 Bohr magnetons per cell
E_tot ... -2.25 eV/atom

---

(3)
The following is a PBE calculation of a relaxed structure of RbLiIn2, from the Alexandria database.

The structure in extended XYZ format:
```
4
Lattice="3.5562 0.0000 0.0000 0.0000 3.5562 0.0000 0.0000 0.0000 9.0373" Properties=species:S:1:pos:R:3 pbc="T T T"
Rb 0.0000 0.0000 0.0000
Li 0.0000 0.0000 4.5186
In 1.7781 1.7781 2.8948
In 1.7781 1.7781 6.1425
```

Values from the calculation:
Magnetic moment ... 0.00 Bohr magnetons per cell
E_tot ... -2.18 eV/atom